This record from the Alexandria database describes crystalline SrTl2In6 at its relaxed geometry. The functional is PBE-GGA.

ΔH_f (0 K) ... -0.098 eV per atom
Fermi-level density of states ... 5.03 states/eV/cell
Excess energy over the best structure of this formula in the dataset ... 0.61 kcal/mol of atoms

Structure (extended XYZ):
```
9
Lattice="-1.813 -2.988 0.938 6.053 -7.332 2.343 1.895 -2.646 9.235" Properties=species:S:1:pos:R:3 pbc="T T T"
In 3.744 -7.245 5.137
In 1.755 -2.946 0.951
In 4.381 -10.020 11.565
In 5.775 -11.591 9.254
In 0.361 -1.375 3.262
In 2.392 -5.721 7.379
Tl 4.087 -8.642 8.341
Tl 2.048 -4.324 4.175
Sr -1.813 -2.988 0.938
```

This record from the Alexandria database describes crystalline Sr4Tl12In at its relaxed geometry. The functional is PBE-GGA.

ΔH_f (0 K) ... -0.237 eV per atom
Fermi-level density of states ... 10.61 states/eV/cell

Structure (extended XYZ):
```
17
Lattice="-3.998 0.413 -7.928 -1.251 -8.060 3.533 -3.459 6.166 5.387" Properties=species:S:1:pos:R:3 pbc="T T T"
Tl -5.212 4.599 -1.776
Tl -3.802 -4.297 0.033
Tl -4.219 0.698 3.825
Tl -4.489 -2.179 -2.833
Tl -2.244 1.980 -0.765
Tl -3.669 -5.345 -3.072
Tl -3.292 -1.324 6.236
Tl -4.906 2.816 0.960
Tl -5.041 1.378 -2.369
Tl -1.580 -2.301 -1.323
Tl -3.667 -2.858 3.361
Tl -1.418 -0.570 2.685
Sr -0.626 -4.030 1.766
Sr -1.729 3.083 2.694
Sr -4.354 -0.740 0.496
Sr -1.999 0.207 -3.964
In 0.000 0.000 0.000
```

This record from the Alexandria database describes crystalline SrTl2In6 at its relaxed geometry. The functional is PBE-GGA.

ΔH_f (0 K) ... -0.124 eV per atom
Fermi-level density of states ... 5.68 states/eV/cell
Excess energy over the best structure of this formula in the dataset ... 0.00 kcal/mol of atoms

Structure (extended XYZ):
```
9
Lattice="6.372 0.069 -0.508 -0.586 6.339 -0.660 0.042 0.196 6.397" Properties=species:S:1:pos:R:3 pbc="T T T"
In 0.818 3.341 4.897
In 0.610 5.373 2.562
In 3.122 1.268 4.951
In 2.706 5.335 0.278
In 5.011 3.262 0.332
In 5.218 1.230 2.667
Sr 0.000 0.000 0.000
Tl 3.859 4.375 3.465
Tl 1.969 2.228 1.764
```

This record from the Alexandria database describes crystalline SrTmTlIn at its relaxed geometry. The functional is PBE-GGA.

ΔH_f (0 K) ... -0.333 eV per atom
Fermi-level density of states ... 2.34 states/eV/cell

Structure (extended XYZ):
```
4
Lattice="5.520 0.000 0.000 2.760 4.780 0.000 2.760 1.593 4.507" Properties=species:S:1:pos:R:3 pbc="T T T"
In 5.520 3.187 2.254
Tl 0.000 0.000 0.000
Sr 2.760 1.593 1.127
Tm 8.280 4.780 3.380
```

This record from the Alexandria database describes crystalline SrTlZn2In at its relaxed geometry. The functional is PBE-GGA.

ΔH_f (0 K) ... 0.676 eV per atom
Fermi-level density of states ... 7.07 states/eV/cell

Structure (extended XYZ):
```
5
Lattice="-5.182 -2.807 0.027 1.539 -2.789 5.553 -2.424 4.501 2.932" Properties=species:S:1:pos:R:3 pbc="T T T"
Sr 0.000 0.000 0.000
In 0.770 -1.394 2.777
Tl -3.033 -0.547 4.256
Zn -2.591 -1.404 0.013
Zn -1.212 2.251 1.466
```

This record from the Alexandria database describes crystalline Sr2TlZn4In3 at its relaxed geometry. The functional is PBE-GGA.

ΔH_f (0 K) ... -0.241 eV per atom
Fermi-level density of states ... 4.20 states/eV/cell

Structure (extended XYZ):
```
10
Lattice="4.674 0.000 0.000 0.000 4.674 0.000 0.000 0.000 11.515" Properties=species:S:1:pos:R:3 pbc="T T T"
Sr 0.000 2.337 8.719
Sr 2.337 0.000 2.796
Tl 2.337 2.337 5.758
Zn 0.000 2.337 4.133
Zn 0.000 0.000 0.000
Zn 2.337 0.000 7.382
Zn 2.337 2.337 0.000
In 0.000 2.337 1.469
In 0.000 0.000 5.758
In 2.337 0.000 10.046
```